(1)
The following is a DFT calculation (PBE-GGA) of crystalline AcPd3Se at its relaxed geometry.

## Properties
Symmetry: Cmcm, No. 63
Uncorrected formation energy, eV/f.u.: -3.91

Structure (POSCAR):
```
AcPd3Se
1.0
6.2414 0.2416 0.0000
2.5091 5.7192 0.0000
0.0000 -0.0001 5.9921
Pd Se Ac
6 2 2
direct
0.4878 0.2752 0.8024
0.0727 0.6904 0.3024
0.1060 0.3085 0.5524
0.0727 0.6904 0.8024
0.4878 0.2753 0.3024
0.4546 0.6572 0.0524
0.8748 0.0775 0.5524
0.6858 0.8882 0.0524
0.0237 0.2263 0.0524
0.5369 0.7394 0.5524
```

---

(2)
The following is a DFT calculation (PBE-GGA) of crystalline AcPd3Se3 at its relaxed geometry.

## Properties
Symmetry: Pm-3n, No. 223
Uncorrected formation energy, eV/f.u.: -3.87

Structure (POSCAR):
```
AcPd3Se3
1.0
-2.9915 5.8829 2.2581
-3.1414 -3.5592 5.1108
5.4625 1.1749 4.1758
Pd Se Ac
6 6 2
direct
0.2500 0.5000 0.0000
0.5000 0.0000 0.2500
0.0000 0.7500 0.5000
0.0000 0.2500 0.5000
0.5000 0.0000 0.7500
0.7500 0.5000 0.0000
0.5000 0.7500 0.0000
0.2500 0.0000 0.5000
0.7500 0.0000 0.5000
0.0000 0.5000 0.2500
0.0000 0.5000 0.7500
0.5000 0.2500 0.0000
0.0000 0.0000 0.0000
0.5000 0.5000 0.5000
```

---

Copy entry 1 word for word.
The following is a DFT calculation (PBE-GGA) of crystalline AcPd3Se at its relaxed geometry.

## Properties
Symmetry: Cmcm, No. 63
Uncorrected formation energy, eV/f.u.: -3.91

Structure (POSCAR):
```
AcPd3Se
1.0
6.2414 0.2416 0.0000
2.5091 5.7192 0.0000
0.0000 -0.0001 5.9921
Pd Se Ac
6 2 2
direct
0.4878 0.2752 0.8024
0.0727 0.6904 0.3024
0.1060 0.3085 0.5524
0.0727 0.6904 0.8024
0.4878 0.2753 0.3024
0.4546 0.6572 0.0524
0.8748 0.0775 0.5524
0.6858 0.8882 0.0524
0.0237 0.2263 0.0524
0.5369 0.7394 0.5524
```